A relaxed K5CdIO2 crystal, computed with PBE-GGA.

Its total magnetic moment is 0.0 μB/f.u. The calculation puts the formation energy from raw total energies at -959 meV/atom. The calculation puts the density of states at the Fermi level at 1.86 states/eV per cell.

The structure belongs to space group P4/mmm (No. 123); the cell edges are 5.496, 5.496 and 9.831 Å and the angles 90.00°, 90.00° and 90.00°. The asymmetric unit holds K at (0.000, 0.000, 0.000), K at (0.000, 0.500, 0.279), Cd at (0.000, 0.000, 0.500), I at (0.500, 0.500, 0.000) and O at (0.000, 0.000, 0.272).

---

A relaxed KCd2IO6 crystal, computed with PBE-GGA.

Its total magnetic moment is 0.0 μB/f.u. The calculation puts the formation energy from raw total energies at -881 meV/atom.

The structure belongs to space group R3 (No. 146, hexagonal axes); the cell edges are 5.8002, 5.8002 and 15.4871 Å and the angles 90.00°, 90.00° and 120.00°. The asymmetric unit holds K at (0.0000, 0.0000, 0.0000), Cd at (0.0000, 0.0000, 0.2132), Cd at (0.0000, 0.0000, 0.7282), I at (0.0000, 0.0000, 0.5210), O at (0.0558, 0.3861, 0.1202) and O at (0.0906, 0.6961, 0.2647).

---

A relaxed KCdI2O crystal, computed with PBE-GGA.

Its total magnetic moment is 1.6 μB/f.u. Its energy above the most stable polymorph in this dataset is 0.788 eV/atom. The calculation puts the formation energy from raw total energies at 125 meV/atom. The calculation puts the density of states at the Fermi level at 6.73 states/eV per cell.

The structure belongs to space group P4/mmm (No. 123); the cell edges are 6.462, 6.462 and 4.785 Å and the angles 90.00°, 90.00° and 90.00°. The asymmetric unit holds K at (0.000, 0.000, 0.000), Cd at (0.500, 0.500, 0.500), I at (0.000, 0.500, 0.000) and O at (0.000, 0.000, 0.500).

---

A relaxed K2CdIO6 crystal, computed with PBE-GGA.

Its total magnetic moment is 1.1 μB/f.u. The calculation puts the formation energy from raw total energies at -882 meV/atom. The calculation puts the density of states at the Fermi level at 32.27 states/eV per cell.

The structure belongs to space group Fm-3m (No. 225); the cell edges are 8.402, 8.402 and 8.402 Å and the angles 90.00°, 90.00° and 90.00°. The asymmetric unit holds K at (0.250, 0.250, 0.250), Cd at (0.000, 0.000, 0.000), I at (0.000, 0.000, 0.500) and O at (0.000, 0.000, 0.274).

---

| no. | ρ (g/cm3) |
| --- | --- |
| 1 | 2.61 |
| 2 | 5.37 |
| 3 | 3.50 |
| 4 | 4.63 |